1.
A geometry-optimized RhPbBr structure. Source: Alexandria via LeMat-Bulk, functional GGA-PBE.

a = 4.6670 Å, b = 4.6670 Å, c = 4.6670 Å
α = 60.00°, β = 60.00°, γ = 60.00°
Atoms (fractional coordinates):
Pb  0.5000  0.5000  0.5000
Rh  0.7500  0.7500  0.7500
Br  0.0000  0.0000  0.0000

Energy relative to the elements, uncorrected ... 0.029 eV/atom
Fermi-level density of states ... 0.304 states/eV per atom
Space-group type ... F-43m (216)
Excess energy over the best structure of this formula in the dataset ... 0.0232 eV per atom

2.
A geometry-optimized CeIn2F11 structure. Source: Alexandria via LeMat-Bulk, functional GGA-PBE.

a = 8.0267 Å, b = 8.4671 Å, c = 8.4671 Å
α = 73.38°, β = 61.71°, γ = 61.71°
Last column: magnetic moment on the atom in μB.
Atoms (fractional coordinates):
Ce  0.7500  0.7500  0.7500  -0.01
Ce  0.2500  0.2500  0.2500  -0.01
In  0.6618  0.6933  0.3067  0.00
In  0.3382  0.3067  0.6933  0.00
In  0.8382  0.1933  0.8067  0.00
In  0.1618  0.8067  0.1933  0.00
F  0.6512  0.7116  0.5541  0.02
F  0.3488  0.2884  0.4459  0.02
F  0.0831  0.5541  0.7116  0.02
F  0.8488  0.9459  0.7884  0.02
F  0.9169  0.4459  0.2884  0.02
F  0.1512  0.0541  0.2116  0.02
F  0.4169  0.7884  0.9459  0.02
F  0.5831  0.2116  0.0541  0.02
F  0.5000  0.5000  0.5000  0.48
F  0.0000  0.0000  0.0000  0.48
F  0.8924  0.8081  0.1919  0.21
F  0.1076  0.1919  0.8081  0.21
F  0.6076  0.3081  0.6919  0.21
F  0.3924  0.6919  0.3081  0.21
F  0.4613  0.9695  0.3123  0.02
F  0.5387  0.0305  0.6877  0.02
F  0.2569  0.3123  0.9695  0.02
F  0.0387  0.1877  0.5305  0.02
F  0.7431  0.6877  0.0305  0.02
F  0.9613  0.8123  0.4695  0.02
F  0.2431  0.5305  0.1877  0.02
F  0.7569  0.4695  0.8123  0.02

Energy relative to the elements, uncorrected ... -2.702 eV/atom
Space-group type ... Ibam (72)

3.
A geometry-optimized ScZnRe structure. Source: Alexandria via LeMat-Bulk, functional GGA-PBE.

a = 4.2796 Å, b = 4.2796 Å, c = 4.2796 Å
α = 60.00°, β = 60.00°, γ = 60.00°
Atoms (fractional coordinates):
Re  0.0000  0.0000  0.0000
Sc  0.5000  0.5000  0.5000
Zn  0.7500  0.7500  0.7500

Fermi-level density of states ... 1.056 states/eV per atom
Space-group type ... F-43m (216)
Excess energy over the best structure of this formula in the dataset ... 0.4899 eV per atom
ΔH_f (0 K) ... 0.531 eV/atom

4.
A geometry-optimized Cs3HgSb2 structure. Source: Alexandria via LeMat-Bulk, functional GGA-PBE.

a = 9.3116 Å, b = 8.2029 Å, c = 10.0091 Å
α = 114.19°, β = 117.72°, γ = 90.00°
Atoms (fractional coordinates):
Cs  0.3685  0.6729  0.3457
Cs  0.6315  0.3271  0.6543
Cs  0.0227  0.8271  0.6543
Cs  0.9773  0.1729  0.3457
Cs  0.5000  0.7500  0.0000
Cs  0.5000  0.2500  0.0000
Hg  0.0000  0.2500  0.0000
Hg  0.0000  0.7500  0.0000
Sb  0.2634  0.0846  0.1692
Sb  0.7366  0.9154  0.8308
Sb  0.0942  0.4154  0.8308
Sb  0.9058  0.5846  0.1692

Energy relative to the elements, uncorrected ... -0.303 eV/atom
Fermi-level density of states ... 0.932 states/eV per atom
Space-group type ... Ibam (72)
Excess energy over the best structure of this formula in the dataset ... 0.0729 eV per atom

5.
A geometry-optimized CaUGa2 structure. Source: Alexandria via LeMat-Bulk, functional GGA-PBE.

a = 3.1292 Å, b = 3.1292 Å, c = 8.8589 Å
α = 90.00°, β = 90.00°, γ = 90.00°
Last column: magnetic moment on the atom in μB.
Atoms (fractional coordinates):
Ca  0.5000  0.5000  0.5000  -0.01
U  0.5000  0.5000  0.0000  2.30
Ga  0.0000  0.0000  0.7531  -0.03
Ga  0.0000  0.0000  0.2469  -0.03

Fermi-level density of states ... 1.366 states/eV per atom
Space-group type ... P4/mmm (123)
ΔH_f (0 K) ... -0.186 eV/atom

6.
A geometry-optimized AgIrSe structure. Source: Alexandria via LeMat-Bulk, functional GGA-PBE.

a = 5.6137 Å, b = 3.9163 Å, c = 11.3015 Å
α = 90.00°, β = 111.90°, γ = 90.00°
Atoms (fractional coordinates):
Ag  0.2684  0.0000  0.7899
Ag  0.2684  0.5000  0.2899
Ag  0.6356  0.0000  0.3866
Ag  0.6356  0.5000  0.8866
Ir  0.7231  0.0000  0.7248
Ir  0.7231  0.5000  0.2248
Ir  0.0133  0.0000  0.9666
Ir  0.0134  0.5000  0.4666
Se  0.2992  0.0000  0.5265
Se  0.2992  0.5000  0.0265
Se  0.8722  0.0000  0.1452
Se  0.8722  0.5000  0.6452

Energy relative to the elements, uncorrected ... 0.174 eV/atom
Fermi-level density of states ... 0.679 states/eV per atom
Space-group type ... Cm (8)
Excess energy over the best structure of this formula in the dataset ... 0.0634 eV per atom

7.
A geometry-optimized Sr5ScSb4 structure. Source: Alexandria via LeMat-Bulk, functional GGA-PBE.

a = 4.6935 Å, b = 8.6366 Å, c = 10.9945 Å
α = 113.09°, β = 102.32°, γ = 90.00°
Last column: magnetic moment on the atom in μB.
Atoms (fractional coordinates):
Sr  0.8351  0.5902  0.6701  0.02
Sr  0.8350  0.0795  0.6701  0.02
Sr  0.1650  0.9205  0.3299  0.02
Sr  0.5000  0.5000  0.0000  0.04
Sr  0.1649  0.4098  0.3299  0.02
Sc  0.5000  0.0000  0.0000  0.17
Sb  0.2977  0.7976  0.5955  0.00
Sb  0.0000  0.7764  0.0000  -0.01
Sb  0.7023  0.2024  0.4045  0.00
Sb  0.0000  0.2236  0.0000  -0.01

Energy relative to the elements, uncorrected ... -0.805 eV/atom
Fermi-level density of states ... 0.570 states/eV per atom
Space-group type ... Immm (71)

8.
A geometry-optimized BaNp3Pd4S12 structure. Source: Alexandria via LeMat-Bulk, functional GGA-PBE.

a = 8.4551 Å, b = 8.4551 Å, c = 8.4551 Å
α = 104.91°, β = 104.91°, γ = 104.91°
Last column: magnetic moment on the atom in μB.
Atoms (fractional coordinates):
Ba  0.0000  0.0000  0.0000  0.01
Np  0.5721  0.4279  0.0000  -2.13
Np  0.4279  0.0000  0.5721  -2.13
Np  0.0000  0.5721  0.4279  -2.13
Pd  0.9119  0.0881  0.5000  0.10
Pd  0.0881  0.5000  0.9119  0.10
Pd  0.5000  0.9119  0.0881  0.10
Pd  0.5000  0.5000  0.5000  0.20
S  0.5000  0.3305  0.6695  0.12
S  0.9147  0.5000  0.0853  0.10
S  0.0853  0.9147  0.5000  0.10
S  0.5000  0.0853  0.9147  0.10
S  0.3453  0.9904  0.2607  0.11
S  0.2607  0.3453  0.9904  0.11
S  0.9904  0.2607  0.3453  0.11
S  0.6547  0.7393  0.0096  0.11
S  0.0096  0.6547  0.7393  0.11
S  0.7393  0.0096  0.6547  0.11
S  0.6695  0.5000  0.3305  0.12
S  0.3305  0.6695  0.5000  0.12

Energy relative to the elements, uncorrected ... -0.643 eV/atom
Fermi-level density of states ... 1.281 states/eV per atom
Space-group type ... R32 (155)

9.
A geometry-optimized ThZrOs4 structure. Source: Alexandria via LeMat-Bulk, functional GGA-PBE.

a = 5.3703 Å, b = 5.3703 Å, c = 5.3703 Å
α = 60.00°, β = 60.00°, γ = 60.00°
Atoms (fractional coordinates):
Os  0.6255  0.6255  0.1236
Os  0.6255  0.1236  0.6255
Os  0.6255  0.6255  0.6255
Os  0.1236  0.6255  0.6255
Zr  0.0000  0.0000  0.0000
Th  0.2500  0.2500  0.2500

Fermi-level density of states ... 0.765 states/eV per atom
Space-group type ... F-43m (216)
ΔH_f (0 K) ... -0.215 eV/atom

10.
A geometry-optimized Na2LaFeBi structure. Source: Alexandria via LeMat-Bulk, functional GGA-PBE.

a = 6.0195 Å, b = 4.3232 Å, c = 6.0195 Å
α = 90.00°, β = 90.00°, γ = 90.00°
Atoms (fractional coordinates):
Fe  0.0000  0.5000  0.0000
Na  0.0000  0.0000  0.5000
Na  0.5000  0.0000  0.0000
Bi  0.5000  0.5000  0.5000
La  0.0000  0.0000  0.0000

Fermi-level density of states ... 0.420 states/eV per atom
Space-group type ... P4/mmm (123)
ΔH_f (0 K) ... 0.804 eV/atom

11.
A geometry-optimized Tl2AuI6 structure. Source: Alexandria via LeMat-Bulk, functional GGA-PBE.

a = 7.3337 Å, b = 8.5893 Å, c = 11.3367 Å
α = 90.00°, β = 91.92°, γ = 90.00°
Atoms (fractional coordinates):
Tl  0.9472  0.4081  0.7404
Tl  0.5528  0.9081  0.7596
Tl  0.4472  0.0919  0.2404
Tl  0.0528  0.5919  0.2596
Au  0.5000  0.5000  0.0000
Au  0.0000  0.0000  0.5000
I  0.9396  0.0006  0.2598
I  0.7810  0.6986  0.5193
I  0.8093  0.6778  0.9741
I  0.6907  0.1778  0.5259
I  0.7190  0.1986  0.9807
I  0.5604  0.5006  0.2402
I  0.0604  0.9994  0.7402
I  0.2190  0.3014  0.4807
I  0.1907  0.3222  0.0259
I  0.3093  0.8222  0.4741
I  0.2810  0.8014  0.0193
I  0.4396  0.4994  0.7598

Energy relative to the elements, uncorrected ... -0.240 eV/atom
Fermi-level density of states ... 0.675 states/eV per atom
Space-group type ... P2_1/c (14)
Excess energy over the best structure of this formula in the dataset ... 0.0188 eV per atom

12.
A geometry-optimized DyURu structure. Source: Alexandria via LeMat-Bulk, functional GGA-PBE.

a = 3.5727 Å, b = 3.5727 Å, c = 6.3649 Å
α = 90.00°, β = 90.00°, γ = 120.00°
Last column: magnetic moment on the atom in μB.
Atoms (fractional coordinates):
Ru  0.3333  0.6667  0.6299  -0.06
U  0.6667  0.3333  0.3950  0.47
Dy  0.0000  0.0000  0.9751  0.03

Fermi-level density of states ... 1.684 states/eV per atom
Space-group type ... P3m1 (156)
Excess energy over the best structure of this formula in the dataset ... 0.2608 eV per atom
ΔH_f (0 K) ... 0.042 eV/atom

| no. | E (eV/f.u.) |
| --- | --- |
| 1 | -12.65 |
| 2 | -69.82 |
| 3 | -18.46 |
| 4 | -12.92 |
| 5 | -20.09 |
| 6 | -14.68 |
| 7 | -39.28 |
| 8 | -123.91 |
| 9 | -62.18 |
| 10 | -15.89 |
| 11 | -19.47 |
| 12 | -25.04 |